# 1
A relaxed structure of ZrSbAu. Source: the Alexandria database, functional PBE.

Output
**Energy relative to the elements, uncorrected**: -0.22 eV/atom
**Space-group type**: No. 156

```
data_ZrSbAu
_chemical_formula_sum 'Zr1 Sb1 Au1'
_cell_length_a 3.2870
_cell_length_b 3.2870
_cell_length_c 7.2527
_cell_angle_alpha 90.00
_cell_angle_beta 90.00
_cell_angle_gamma 120.00
_symmetry_space_group_name_H-M 'P 1'
_symmetry_Int_Tables_number 1
_symmetry_space_group_name_Hall 'P 1'
loop_
_atom_site_label
_atom_site_type_symbol
_atom_site_fract_x
_atom_site_fract_y
_atom_site_fract_z
Zr1 Zr 0.0000 0.0000 0.0000
Sb1 Sb 0.3333 0.6667 0.6614
Au1 Au 0.6667 0.3333 0.3012
```

---

# 2
A relaxed structure of CeYScS3. Source: the Alexandria database, functional PBE.

Output
**Energy relative to the elements, uncorrected**: -1.76 eV/atom
**Space-group type**: No. 11

```
data_CeYScS3
_chemical_formula_sum 'Ce2 Y2 Sc2 S6'
_cell_length_a 8.2292
_cell_length_b 3.7851
_cell_length_c 9.3075
_cell_angle_alpha 90.00
_cell_angle_beta 97.98
_cell_angle_gamma 90.00
_symmetry_space_group_name_H-M 'P 1'
_symmetry_Int_Tables_number 1
_symmetry_space_group_name_Hall 'P 1'
loop_
_atom_site_label
_atom_site_type_symbol
_atom_site_fract_x
_atom_site_fract_y
_atom_site_fract_z
Ce1 Ce 0.1497 0.2500 0.1853
Ce2 Ce 0.8503 0.7500 0.8147
Y1 Y 0.3576 0.7500 0.8694
Y2 Y 0.6424 0.2500 0.1306
Sc1 Sc 0.1291 0.2500 0.5938
Sc2 Sc 0.8709 0.7500 0.4062
S1 S 0.1163 0.2500 0.8708
S2 S 0.1873 0.7500 0.4306
S3 S 0.4126 0.7500 0.1626
S4 S 0.5874 0.2500 0.8374
S5 S 0.8127 0.2500 0.5694
S6 S 0.8837 0.7500 0.1292
```

---

# 3
A relaxed structure of Y2Th2Sc7. Source: the Alexandria database, functional PBE.

Output
**Space-group type**: No. 12
**Energy of formation**: 2.307 eV per formula unit

```
data_Y2Th2Sc7
_chemical_formula_sum 'Y2 Th2 Sc7'
_cell_length_a 6.4870
_cell_length_b 6.4870
_cell_length_c 7.8309
_cell_angle_alpha 99.05
_cell_angle_beta 99.05
_cell_angle_gamma 104.70
_symmetry_space_group_name_H-M 'P 1'
_symmetry_Int_Tables_number 1
_symmetry_space_group_name_Hall 'P 1'
loop_
_atom_site_label
_atom_site_type_symbol
_atom_site_fract_x
_atom_site_fract_y
_atom_site_fract_z
Y1 Y 0.2241 0.7759 0.0000
Y2 Y 0.7759 0.2241 0.0000
Th1 Th 0.0871 0.0871 0.3199
Th2 Th 0.9129 0.9129 0.6801
Sc1 Sc 0.0150 0.6019 0.3410
Sc2 Sc 0.2990 0.2990 0.0144
Sc3 Sc 0.3981 0.9850 0.6590
Sc4 Sc 0.5000 0.5000 0.5000
Sc5 Sc 0.6019 0.0150 0.3410
Sc6 Sc 0.7010 0.7010 0.9856
Sc7 Sc 0.9850 0.3981 0.6590
```

---

# 4
A relaxed structure of KTa2Cu. Source: the Alexandria database, functional PBE.

Output
**Space-group type**: No. 119
**Energy of formation**: 5.673 eV per formula unit
**Distance to the lowest polymorph of the same formula**: 837.8 meV/atom

```
data_KTa2Cu
_chemical_formula_sum 'K2 Ta4 Cu2'
_cell_length_a 4.8401
_cell_length_b 4.8401
_cell_length_c 6.8340
_cell_angle_alpha 90.00
_cell_angle_beta 90.00
_cell_angle_gamma 90.00
_symmetry_space_group_name_H-M 'P 1'
_symmetry_Int_Tables_number 1
_symmetry_space_group_name_Hall 'P 1'
loop_
_atom_site_label
_atom_site_type_symbol
_atom_site_fract_x
_atom_site_fract_y
_atom_site_fract_z
K1 K 0.0000 0.0000 0.0000
K2 K 0.5000 0.5000 0.5000
Ta1 Ta 0.0000 0.0000 0.5000
Ta2 Ta 0.0000 0.5000 0.7500
Ta3 Ta 0.5000 0.0000 0.2500
Ta4 Ta 0.5000 0.5000 0.0000
Cu1 Cu 0.0000 0.5000 0.2500
Cu2 Cu 0.5000 0.0000 0.7500
```